VASP calculation (PBE) on an optimized crystal structure of SiIrI2N.

Properties
* spin magnetization: 0.000 μB/cell
* calculated density: 6.88 Mg/m³
* E_form (uncorrected): 1.1284 eV per atom
* total DFT energy (no corrections): -4.014 eV per atom
* D(E_F): 3.13 states/eV/f.u.

abc: 5.631 3.714 5.631
angles: 90.00 90.00 90.00
Element x y z (fractional)
I 0.000 0.000 0.500
I 0.500 0.000 0.000
Si 0.500 0.500 0.500
Ir 0.000 0.500 0.000
N 0.000 0.000 0.000

***

VASP calculation (PBE) on an optimized crystal structure of Tm3Ag3SnSe8.

Properties
* spin magnetization: 0.000 μB/cell
* calculated density: 6.91 Mg/m³
* E_form (uncorrected): -0.9802 eV per atom
* total DFT energy (no corrections): -4.570 eV per atom
* D(E_F): 2.15 states/eV/f.u.

abc: 8.135 8.133 8.136
angles: 120.11 90.00 120.01
Element x y z (fractional)
Tm 0.500 0.000 0.500
Tm 0.500 0.500 0.500
Tm 0.000 0.500 0.500
Ag 0.000 0.000 0.000
Ag 0.000 0.500 0.000
Ag 0.500 0.500 0.000
Sn 0.000 0.000 0.500
Se 0.254 0.508 0.263
Se 0.746 0.492 0.737
Se 0.759 0.518 0.261
Se 0.241 0.482 0.739
Se 0.759 0.001 0.261
Se 0.241 0.999 0.739
Se 0.243 0.001 0.261
Se 0.757 0.999 0.739

***

VASP calculation (PBE) on an optimized crystal structure of Zn4In.

Properties
* spin magnetization: 0.000 μB/cell
* calculated density: 7.09 Mg/m³
* formation enthalpy at 0 K: 54 meV/atom
* total DFT energy (no corrections): -1.513 eV per atom
* D(E_F): 0.97 states/eV/f.u.

abc: 3.050 7.766 7.601
angles: 90.00 101.57 90.00
Element x y z (fractional)
Zn 0.187 0.074 0.375
Zn 0.813 0.926 0.625
Zn 0.813 0.574 0.625
Zn 0.187 0.426 0.375
Zn 0.571 0.250 0.142
Zn 0.429 0.750 0.858
Zn 0.000 0.000 0.000
Zn 0.000 0.500 0.000
In 0.368 0.250 0.737
In 0.632 0.750 0.263

***

VASP calculation (PBE) on an optimized crystal structure of CuPtS.

Properties
* spin magnetization: 0.000 μB/cell
* calculated density: 8.38 Mg/m³
* E_form (uncorrected): -0.0545 eV per atom
* total DFT energy (no corrections): -4.809 eV per atom
* D(E_F): 1.60 states/eV/f.u.

abc: 4.232 8.176 7.208
angles: 85.64 72.93 75.00
Element x y z (fractional)
Cu 0.464 0.814 0.259
Cu 0.278 0.186 0.259
Cu 0.722 0.814 0.741
Cu 0.536 0.186 0.741
Pt 0.822 0.000 0.355
Pt 0.911 0.178 0.000
Pt 0.089 0.822 0.000
Pt 0.178 0.000 0.645
S 0.999 0.701 0.301
S 0.700 0.299 0.301
S 0.300 0.701 0.699
S 0.001 0.299 0.699

***

VASP calculation (PBE) on an optimized crystal structure of LiTa2Ni2.

Properties
* spin magnetization: 0.000 μB/cell
* calculated density: 10.70 Mg/m³
* formation enthalpy at 0 K: -20 meV/atom
* total DFT energy (no corrections): -7.456 eV per atom
* D(E_F): 3.74 states/eV/f.u.

abc: 7.367 7.367 2.780
angles: 90.00 90.00 90.00
Element x y z (fractional)
Ni 0.374 0.874 0.000
Ni 0.874 0.626 0.000
Ni 0.626 0.126 0.000
Ni 0.126 0.374 0.000
Li 0.000 0.000 0.000
Li 0.500 0.500 0.000
Ta 0.168 0.668 0.500
Ta 0.668 0.832 0.500
Ta 0.832 0.332 0.500
Ta 0.332 0.168 0.500

***

VASP calculation (PBE) on an optimized crystal structure of VSnI3.

Properties
* spin magnetization: 3.991 μB/cell
* calculated density: 5.31 Mg/m³
* E_form (uncorrected): 0.0270 eV per atom
* total DFT energy (no corrections): -3.527 eV per atom
* D(E_F): 2.97 states/eV/f.u.

abc: 5.563 5.563 5.563
angles: 90.00 90.00 90.00
Element x y z (fractional)
I 0.000 0.500 0.000
I 0.000 0.000 0.500
I 0.500 0.000 0.000
Sn 0.500 0.500 0.500
V 0.000 0.000 0.000

***

VASP calculation (PBE) on an optimized crystal structure of Pr2Sm5Ho3.

Properties
* spin magnetization: 0.000 μB/cell
* calculated density: 7.41 Mg/m³
* formation enthalpy at 0 K: 188 meV/atom
* total DFT energy (no corrections): -4.500 eV per atom
* D(E_F): 17.83 states/eV/f.u.

abc: 9.559 9.607 11.224
angles: 125.45 125.35 69.09
Element x y z (fractional)
Pr 0.784 0.018 0.751
Pr 0.216 0.982 0.249
Pr 0.468 0.734 0.751
Pr 0.532 0.266 0.249
Sm 0.281 0.531 0.063
Sm 0.719 0.469 0.937
Sm 0.019 0.769 0.538
Sm 0.522 0.272 0.544
Sm 0.981 0.231 0.462
Sm 0.478 0.728 0.456
Sm 0.870 0.614 0.767
Sm 0.130 0.386 0.233
Sm 0.397 0.153 0.767
Sm 0.603 0.847 0.233
Ho 0.226 0.976 0.952
Ho 0.774 0.024 0.048
Ho 0.732 0.462 0.239
Ho 0.268 0.538 0.761
Ho 0.007 0.778 0.239
Ho 0.993 0.222 0.761

***

VASP calculation (PBE) on an optimized crystal structure of PrCuSn4Pd2.

Properties
* spin magnetization: 0.000 μB/cell
* calculated density: 8.43 Mg/m³
* formation enthalpy at 0 K: -398 meV/atom
* total DFT energy (no corrections): -4.807 eV per atom
* D(E_F): 3.41 states/eV/f.u.

abc: 4.746 4.746 9.413
angles: 75.40 75.40 60.00
Element x y z (fractional)
Pr 0.000 0.000 0.000
Cu 0.500 0.500 0.500
Sn 0.398 0.398 0.807
Sn 0.869 0.869 0.393
Sn 0.131 0.131 0.607
Sn 0.602 0.602 0.193
Pd 0.756 0.756 0.733
Pd 0.244 0.244 0.267